This record from the Alexandria database describes a geometry-optimized RbTa2TiBr structure. The functional is PBEsol.

a = 4.9111 Å, b = 4.9111 Å, c = 4.5764 Å
α = 90.00°, β = 90.00°, γ = 90.00°
Last column: nearest neighbours and their distance in Å.
Space group P4/mmm (No. 123)
Asymmetric unit:
Rb 0.0000 0.0000 0.0000 x1  2 Ti 2.29, 4 Ta 2.46
Ta 0.0000 0.5000 0.0000 x2  2 Rb 2.46
Ti 0.0000 0.0000 0.5000 x1  2 Rb 2.29
Br 0.5000 0.5000 0.5000 x1  8 Ta 3.36, 4 Ti 3.47

Results
Mass density ... 8.7 g/cm³
Electronic total energy ... -4.342 eV per atom
DOS at the Fermi energy ... 3.95 states/eV/f.u.
Raw formation energy ... 2.92 eV per atom